Here is crystalline BaCaI4 at its relaxed geometry from Alexandria. Energies are from GGA-PBE.

Symmetry: P2_1/c
Distance to the lowest polymorph of the same formula, kJ/mol of atoms: 3.98
E_tot, eV per atom: -3.3222

a = 9.7410 Å, b = 7.6416 Å, c = 19.0725 Å
α = 90.00°, β = 120.60°, γ = 90.00°
Last column: nearest neighbours and their distance in Å.
Sites, in units of the cell vectors:
Ba1 0.0073 0.1197 0.1296  6 I 3.45-3.50
Ba2 0.0073 0.3803 0.6296  6 I 3.45-3.50
Ba3 0.9927 0.6197 0.3704  6 I 3.45-3.50
Ba4 0.9927 0.8803 0.8704  6 I 3.45-3.50
Ca1 0.4967 0.0880 0.8741  6 I 3.18-3.26
Ca2 0.4967 0.4120 0.3741  6 I 3.18-3.26
Ca3 0.5033 0.5880 0.6259  6 I 3.18-3.26
Ca4 0.5033 0.9120 0.1259  6 I 3.18-3.26
I1 0.1561 0.2389 0.8269  1 Ca 3.18, 2 Ba 3.45-3.48
I2 0.1561 0.2611 0.3269  1 Ca 3.18, 2 Ba 3.45-3.48
I3 0.1565 0.7322 0.5736  1 Ca 3.19, 2 Ba 3.46-3.47
I4 0.1565 0.7678 0.0736  1 Ca 3.19, 2 Ba 3.46-3.47
I5 0.3922 0.7309 0.4451  2 Ca 3.20-3.23, 1 Ba 3.50
I6 0.3922 0.7691 0.9451  2 Ca 3.20-3.23, 1 Ba 3.50
I7 0.4013 0.2377 0.1991  2 Ca 3.25-3.26, 1 Ba 3.48
I8 0.4013 0.2623 0.6991  2 Ca 3.25-3.26, 1 Ba 3.48
I9 0.5987 0.7377 0.3009  2 Ca 3.25-3.26, 1 Ba 3.48
I10 0.5987 0.7623 0.8009  2 Ca 3.25-3.26, 1 Ba 3.48
I11 0.6078 0.2309 0.0549  2 Ca 3.20-3.23, 1 Ba 3.50
I12 0.6078 0.2691 0.5549  2 Ca 3.20-3.23, 1 Ba 3.50
I13 0.8435 0.2322 0.9264  1 Ca 3.19, 2 Ba 3.46-3.47
I14 0.8435 0.2678 0.4264  1 Ca 3.19, 2 Ba 3.46-3.47
I15 0.8439 0.7389 0.6731  1 Ca 3.18, 2 Ba 3.45-3.48
I16 0.8439 0.7611 0.1731  1 Ca 3.18, 2 Ba 3.45-3.48